Density functional theory data (PBE) for a relaxed ZnAs2Ir crystal.

Summary:
density of states at the Fermi level: 1.9 states/eV/cell
crystal system: monoclinic
formation energy: -0.010 eV per atom
V: 74.3 Å³/f.u.
M_tot: 0.000 μB per atom

Cell and atoms, written as extended XYZ:
```
4
Lattice="-0.973 3.164 -1.610 -1.937 -0.063 -3.129 -6.330 1.056 1.773" Properties=species:S:1:pos:R:3 pbc="T T T"
As -3.097 3.095 -4.607
As -4.431 2.085 -1.614
Ir -2.310 1.039 -0.741
Zn -6.929 3.118 -2.224
```

---

Density functional theory data (PBE) for a relaxed ZnAs2Ir crystal.

Summary:
density of states at the Fermi level: 1.8 states/eV/cell
crystal system: monoclinic
formation energy: -0.021 eV per atom
V: 74.6 Å³/f.u.
M_tot: 0.000 μB per atom

Cell and atoms, written as extended XYZ:
```
4
Lattice="-1.339 -2.124 -4.274 -2.372 -3.810 -2.103 -5.327 1.605 -1.290" Properties=species:S:1:pos:R:3 pbc="T T T"
As -3.650 -5.709 -6.173
As -1.922 -0.563 -1.353
Ir -5.394 -2.251 -4.317
Zn -6.303 -3.904 -6.034
```

---

Density functional theory data (PBE) for a relaxed Zn2AsIr crystal.

Summary:
density of states at the Fermi level: 1.3 states/eV/cell
crystal system: monoclinic
formation energy: -0.051 eV per atom
V: 61.8 Å³/f.u.
M_tot: 0.000 μB per atom

Cell and atoms, written as extended XYZ:
```
4
Lattice="-0.339 0.296 -4.673 -1.727 -2.200 -3.770 -4.122 2.217 -0.210" Properties=species:S:1:pos:R:3 pbc="T T T"
As -3.051 0.069 -4.501
Ir -1.528 0.088 -2.107
Zn -2.067 -1.869 -8.343
Zn -4.705 0.275 -6.472
```

---

Density functional theory data (PBE) for a relaxed ZnAs2Ir crystal.

Summary:
density of states at the Fermi level: 1.7 states/eV/cell
crystal system: tetragonal
formation energy: 0.110 eV per atom
V: 68.0 Å³/f.u.
M_tot: 0.000 μB per atom

Cell and atoms, written as extended XYZ:
```
4
Lattice="3.018 0.000 0.000 0.000 3.015 0.000 0.000 0.000 7.471" Properties=species:S:1:pos:R:3 pbc="T T T"
As 0.000 0.000 0.219
As 0.000 0.000 3.517
Ir 1.509 1.507 1.868
Zn 1.509 1.507 5.603
```

---

Density functional theory data (PBE) for a relaxed Zn2AsIr crystal.

Summary:
density of states at the Fermi level: 1.7 states/eV/cell
crystal system: orthorhombic
formation energy: 0.012 eV per atom
V: 60.6 Å³/f.u.
M_tot: 0.000 μB per atom

Cell and atoms, written as extended XYZ:
```
4
Lattice="4.684 -0.006 0.000 -1.720 4.357 0.000 0.000 0.000 2.971" Properties=species:S:1:pos:R:3 pbc="T T T"
As 2.342 -0.003 1.485
Ir -0.860 2.179 1.485
Zn 0.000 0.000 0.000
Zn 1.482 2.176 0.000
```

---

Density functional theory data (PBE) for a relaxed ZnAs3Ir crystal.

Summary:
density of states at the Fermi level: 3.5 states/eV/cell
crystal system: cubic
formation energy: 0.659 eV per atom
V: 116.8 Å³/f.u.
E above lowest polymorph: 0 meV/atom
M_tot: 0.000 μB per atom

Cell and atoms, written as extended XYZ:
```
5
Lattice="-1.121 4.705 -0.707 -4.627 -0.908 1.291 1.111 0.965 4.661" Properties=species:S:1:pos:R:3 pbc="T T T"
As -2.313 -0.454 0.646
As 0.556 0.483 2.331
As -0.560 2.353 -0.354
Ir 0.000 0.000 0.000
Zn -2.318 2.381 2.623
```